# GGA+U CaMnIrO6, relaxed
data_CaMnIrO6
_chemical_formula_sum 'Ca2 Mn2 Ir2 O12'
_space_group_name_H-M_alt 'P 1'
_space_group_IT_number 1
_cell_length_a 5.424
_cell_length_b 5.424
_cell_length_c 8.548
_cell_angle_alpha 90.00
_cell_angle_beta 90.00
_cell_angle_gamma 120.00
loop_
_space_group_symop_operation_xyz
'x,y,z'
loop_
_atom_site_label
_atom_site_fract_x
_atom_site_fract_y
_atom_site_fract_z
_atom_site_occupancy
Ca1 0.333 0.667 0.250 1
Ca2 0.667 0.333 0.750 1
Mn1 0.000 0.000 0.000 1
Mn2 0.000 0.000 0.500 1
Ir1 0.333 0.667 0.750 1
Ir2 0.667 0.333 0.250 1
O1 0.055 0.368 0.622 1
O2 0.055 0.687 0.878 1
O3 0.313 0.368 0.878 1
O4 0.313 0.945 0.622 1
O5 0.368 0.055 0.122 1
O6 0.368 0.313 0.378 1
O7 0.632 0.687 0.622 1
O8 0.632 0.945 0.878 1
O9 0.687 0.055 0.378 1
O10 0.687 0.632 0.122 1
O11 0.945 0.313 0.122 1
O12 0.945 0.632 0.378 1
# E_tot	-6.598	eV/atom
# excess energy over the best structure of this formula in the dataset	36	kJ/mol of formula units
# V	12.1	Å³ per atom
# size of the total moment	7.63	μB/cell